1.
Material: CrReRh3
Method: DFT, GGA-PBE
State: relaxed

Geometry as POSCAR:
```
CrReRh3
1.0
4.4031 0.0000 0.0000
0.0000 4.4031 0.0000
0.0000 0.0000 4.4031
Cr Re Rh
1 1 3
direct
0.0000 0.0000 0.0000
0.5000 0.5000 0.5000
0.0000 0.0000 0.5000
0.0000 0.5000 0.0000
0.5000 0.0000 0.0000
```

* DOS(E_F): 5.7 states/eV/f.u.
* calculated density: 10.64 g/cm³


2.
Material: CrReRh3
Method: DFT, GGA-PBE
State: relaxed

Geometry as POSCAR:
```
CrReRh3
1.0
3.8287 0.0000 0.0000
0.0012 5.3739 0.0000
1.9141 1.3492 6.7247
Cr Re Rh
2 2 6
direct
0.1994 0.3565 0.1027
0.8006 0.6435 0.8973
0.3985 0.9483 0.7029
0.6015 0.0517 0.2971
0.0028 0.2464 0.4941
0.2036 0.8447 0.0930
0.3903 0.4539 0.7193
0.6097 0.5461 0.2807
0.7964 0.1553 0.9070
0.9972 0.7536 0.5059
```

* DOS(E_F): 4.6 states/eV/f.u.
* calculated density: 13.13 g/cm³


Which is most stable, and by how much? 2, by 1.449 eV/atom.


1.
Material: CrReRh3
Method: DFT, GGA-PBE
State: relaxed

Geometry as POSCAR:
```
CrReRh3
1.0
4.6859 0.0000 0.0000
0.0000 4.6859 0.0000
0.0000 0.0000 4.6859
Cr Re Rh
1 1 3
direct
0.0000 0.0000 0.0000
0.5000 0.5000 0.5000
0.0000 0.5000 0.5000
0.5000 0.0000 0.5000
0.5000 0.5000 0.0000
```

* DOS(E_F): 4.8 states/eV/f.u.
* calculated density: 8.83 g/cm³


2.
Material: CrReRh3
Method: DFT, GGA-PBE
State: relaxed

Geometry as POSCAR:
```
CrReRh3
1.0
4.1964 0.0000 0.0000
0.0000 5.2700 0.0000
0.0000 0.0000 6.8892
Cr Re Rh
2 2 6
direct
0.2500 0.2500 0.0593
0.7500 0.7500 0.9407
0.2500 0.7500 0.3205
0.7500 0.2500 0.6795
0.2500 0.2500 0.4259
0.2500 0.5111 0.7598
0.2500 0.9889 0.7598
0.7500 0.0111 0.2402
0.7500 0.4889 0.2402
0.7500 0.7500 0.5741
```

* DOS(E_F): 5.7 states/eV/f.u.
* calculated density: 11.92 g/cm³


Which is most stable, and by how much? 2, by 0.943 eV/atom.


1.
Material: CrReS2
Method: DFT, GGA-PBE
State: relaxed

Geometry as POSCAR:
```
CrReS2
1.0
2.9161 0.0000 0.0000
-1.4581 2.5254 0.0000
0.0000 0.0000 22.9085
Cr Re S
3 3 6
direct
0.0000 0.0000 0.0000
0.3333 0.6667 0.6667
0.6667 0.3333 0.3333
0.0000 0.0000 0.5000
0.3333 0.6667 0.1667
0.6667 0.3333 0.8333
0.0000 0.0000 0.4006
0.0000 0.0000 0.5994
0.3333 0.6667 0.0672
0.3333 0.6667 0.2661
0.6667 0.3333 0.7339
0.6667 0.3333 0.9328
```

* DOS(E_F): 4.0 states/eV/f.u.
* calculated density: 8.93 g/cm³


2.
Material: CrReS2
Method: DFT, GGA-PBE
State: relaxed

Geometry as POSCAR:
```
CrReS2
1.0
5.8385 0.0000 0.0000
0.0000 5.8385 0.0000
0.0000 0.0000 5.8385
Cr Re S
4 4 8
direct
0.0000 0.0000 0.0000
0.0000 0.5000 0.5000
0.5000 0.0000 0.5000
0.5000 0.5000 0.0000
0.0000 0.0000 0.5000
0.0000 0.5000 0.0000
0.5000 0.0000 0.0000
0.5000 0.5000 0.5000
0.2500 0.2500 0.2500
0.2500 0.2500 0.7500
0.2500 0.7500 0.2500
0.2500 0.7500 0.7500
0.7500 0.2500 0.2500
0.7500 0.2500 0.7500
0.7500 0.7500 0.2500
0.7500 0.7500 0.7500
```

* DOS(E_F): 2.8 states/eV/f.u.
* calculated density: 10.09 g/cm³


Which is most stable, and by how much? 1, by 0.243 eV/atom.


1.
Material: CrRe3S
Method: DFT, GGA-PBE
State: relaxed

Geometry as POSCAR:
```
CrRe3S
1.0
4.4661 0.0000 0.0000
0.0000 4.4661 0.0000
0.0000 0.0000 4.4661
Cr Re S
1 3 1
direct
0.0000 0.0000 0.0000
0.0000 0.0000 0.5000
0.0000 0.5000 0.0000
0.5000 0.0000 0.0000
0.5000 0.5000 0.5000
```

* DOS(E_F): 6.8 states/eV/f.u.
* calculated density: 11.98 g/cm³


2.
Material: CrRe3S
Method: DFT, GGA-PBE
State: relaxed

Geometry as POSCAR:
```
CrRe3S
1.0
4.3347 0.0000 0.0000
0.0000 4.3347 0.0000
0.0000 0.0000 4.3347
Cr Re S
1 3 1
direct
0.0000 0.0000 0.0000
0.0000 0.5000 0.5000
0.5000 0.0000 0.5000
0.5000 0.5000 0.0000
0.5000 0.5000 0.5000
```

* DOS(E_F): 5.4 states/eV/f.u.
* calculated density: 13.10 g/cm³


Which is most stable, and by how much? 2, by 0.999 eV/atom.


1.
Material: CrReSb
Method: DFT, GGA-PBE
State: relaxed

Geometry as POSCAR:
```
CrReSb
1.0
5.9355 0.0000 0.0000
0.0000 5.9355 0.0000
0.0000 0.0000 5.9355
Cr Re Sb
4 4 4
direct
0.0000 0.0000 0.0000
0.0000 0.5000 0.5000
0.5000 0.0000 0.5000
0.5000 0.5000 0.0000
0.2500 0.2500 0.2500
0.2500 0.7500 0.7500
0.7500 0.2500 0.7500
0.7500 0.7500 0.2500
0.2500 0.2500 0.7500
0.2500 0.7500 0.2500
0.7500 0.2500 0.2500
0.7500 0.7500 0.7500
```

* DOS(E_F): 1.9 states/eV/f.u.
* calculated density: 11.43 g/cm³


2.
Material: CrReSb
Method: DFT, GGA-PBE
State: relaxed

Geometry as POSCAR:
```
CrReSb
1.0
3.0411 0.0000 0.0000
-1.5205 2.6336 0.0000
0.0000 0.0000 6.3205
Cr Re Sb
1 1 1
direct
0.0000 0.0000 0.0000
0.3333 0.6667 0.2646
0.6667 0.3333 0.6473
```

* DOS(E_F): 1.7 states/eV/f.u.
* calculated density: 11.81 g/cm³


3.
Material: CrReSb
Method: DFT, GGA-PBE
State: relaxed

Geometry as POSCAR:
```
CrReSb
1.0
3.0012 0.0000 0.0000
0.0000 3.0012 0.0000
0.0000 0.0000 10.9203
Cr Re Sb
2 2 2
direct
0.0000 0.0000 0.0000
0.5000 0.5000 0.5000
0.0000 0.0000 0.3740
0.5000 0.5000 0.8740
0.0000 0.0000 0.6783
0.5000 0.5000 0.1783
```

* DOS(E_F): 2.6 states/eV/f.u.
* calculated density: 12.15 g/cm³


Which is most stable, and by how much? 1, by 0.162 eV/atom.


1.
Material: CrReSb
Method: DFT, GGA-PBE
State: relaxed

Geometry as POSCAR:
```
CrReSb
1.0
4.3333 0.0000 0.0000
-2.1667 3.7528 0.0000
0.0000 0.0000 2.9375
Cr Re Sb
1 1 1
direct
0.0000 0.0000 0.0000
0.3333 0.6667 0.4733
0.6667 0.3333 0.9672
```

* DOS(E_F): 2.1 states/eV/f.u.
* calculated density: 12.51 g/cm³


2.
Material: CrReSb
Method: DFT, GGA-PBE
State: relaxed

Geometry as POSCAR:
```
CrReSb
1.0
3.0552 0.0000 0.0000
0.0000 3.8053 0.0000
0.0000 0.0000 8.3590
Cr Re Sb
2 2 2
direct
0.0000 0.0000 0.0000
0.5000 0.5000 0.5000
0.0000 0.0000 0.6477
0.5000 0.5000 0.1477
0.0000 0.0000 0.3231
0.5000 0.5000 0.8231
```

* DOS(E_F): 2.3 states/eV/f.u.
* calculated density: 12.30 g/cm³


Which is most stable, and by how much? 2, by 0.106 eV/atom.